[1]
This record from Alexandria describes a relaxed KRb2SbAu crystal. The functional is PBE.

The total energy is -2.28 eV/atom. As for the uncorrected formation energy: -0.20 eV/atom. The crystal system is tetragonal. As for the density of states at the Fermi level: 1.8 states/eV per cell.

The space group is P4/mmm (No. 123) and the conventional cell measures 6.686, 6.686 and 5.375 Å, with angles of 90.00, 90.00 and 90.00 degrees. The distinct sites, in fractional coordinates, are K at (0.000, 0.000, 0.000), Rb at (0.000, 0.500, 0.500), Sb at (0.500, 0.500, 0.000) and Au at (0.500, 0.500, 0.500).

=====

[2]
This record from Alexandria describes a relaxed K2RbSb2Au crystal. The functional is PBE.

The total energy is -2.66 eV/atom. As for the uncorrected formation energy: -0.21 eV/atom. The crystal system is tetragonal. As for the density of states at the Fermi level: 10.1 states/eV per cell.

The space group is I4/mmm (No. 139) and the conventional cell measures 6.876, 6.876 and 12.455 Å, with angles of 90.00, 90.00 and 90.00 degrees. The distinct sites, in fractional coordinates, are K at (0.000, 0.500, 0.250), Rb at (0.000, 0.000, 0.000), Sb at (0.000, 0.000, 0.293) and Au at (0.000, 0.000, 0.500).

=====

[3]
This record from Alexandria describes a relaxed K2RbSbAu crystal. The functional is PBE.

The total energy is -2.34 eV/atom. The energy relative to the lowest polymorph listed for this composition comes out at 0 meV/atom. As for the uncorrected formation energy: -0.23 eV/atom. The crystal system is tetragonal. As for the density of states at the Fermi level: 1.9 states/eV per cell.

The space group is P4/mmm (No. 123) and the conventional cell measures 6.435, 6.435 and 5.380 Å, with angles of 90.00, 90.00 and 90.00 degrees. The distinct sites, in fractional coordinates, are K at (0.000, 0.500, 0.000), Rb at (0.000, 0.000, 0.500), Sb at (0.500, 0.500, 0.500) and Au at (0.500, 0.500, 0.000).

=====

[4]
This record from Alexandria describes a relaxed K2RbSbAu crystal. The functional is PBE.

The total energy is -2.22 eV/atom. The energy relative to the lowest polymorph listed for this composition comes out at 124 meV/atom. As for the uncorrected formation energy: -0.10 eV/atom. The crystal system is tetragonal. As for the density of states at the Fermi level: 3.4 states/eV per cell.

The space group is P4/mmm (No. 123) and the conventional cell measures 6.160, 6.160 and 6.391 Å, with angles of 90.00, 90.00 and 90.00 degrees. The distinct sites, in fractional coordinates, are K at (0.000, 0.500, 0.000), Rb at (0.000, 0.000, 0.500), Sb at (0.500, 0.500, 0.500) and Au at (0.000, 0.000, 0.000).

=====

[5]
This record from Alexandria describes a relaxed K6Rb2AuSe crystal. The functional is PBE.

The total energy is -1.86 eV/atom. As for the uncorrected formation energy: -0.33 eV/atom. The crystal system is monoclinic. As for the density of states at the Fermi level: 13.8 states/eV per cell.

The space group is Cm (No. 8) and the conventional cell measures 13.295, 13.305 and 9.391 Å, with angles of 90.00, 134.83 and 90.00 degrees. The distinct sites, in fractional coordinates, are K at (0.000, 0.000, 0.000), K at (0.000, 0.000, 0.486), K at (0.015, 0.500, 0.001), K at (0.016, 0.500, 0.516), K at (0.258, 0.257, 0.000), Rb at (0.258, 0.250, 0.500), Au at (0.258, 0.000, 0.001) and Se at (0.258, 0.500, 0.001).

=====

[6]
This record from Alexandria describes a relaxed K2RbAuSe2 crystal. The functional is PBE.

The total energy is -3.11 eV/atom. As for the uncorrected formation energy: -0.87 eV/atom. The crystal system is tetragonal.

The space group is I4/mmm (No. 139) and the conventional cell measures 6.506, 6.506 and 11.518 Å, with angles of 90.00, 90.00 and 90.00 degrees. The distinct sites, in fractional coordinates, are K at (0.000, 0.500, 0.250), Rb at (0.000, 0.000, 0.000), Au at (0.000, 0.000, 0.500) and Se at (0.000, 0.000, 0.288).

=====

[7]
This record from Alexandria describes a relaxed KRb2AuSe crystal. The functional is PBE.

The total energy is -2.58 eV/atom. As for the uncorrected formation energy: -0.62 eV/atom. The crystal system is tetragonal. As for the density of states at the Fermi level: 0.0 states/eV per cell.

The space group is P4/mmm (No. 123) and the conventional cell measures 6.540, 6.540 and 6.190 Å, with angles of 90.00, 90.00 and 90.00 degrees. The distinct sites, in fractional coordinates, are K at (0.000, 0.000, 0.000), Rb at (0.000, 0.500, 0.500), Au at (0.500, 0.500, 0.000) and Se at (0.000, 0.000, 0.500).

=====

[8]
This record from Alexandria describes a relaxed KRbAuSe2 crystal. The functional is PBE.

The total energy is -3.14 eV/atom. As for the uncorrected formation energy: -0.67 eV/atom. The crystal system is orthorhombic. As for the density of states at the Fermi level: 20.7 states/eV per cell.

The space group is Cmme (No. 67) and the conventional cell measures 8.850, 15.904 and 5.697 Å, with angles of 90.00, 90.00 and 90.00 degrees. The distinct sites, in fractional coordinates, are K at (0.250, 0.000, 0.000), Rb at (0.000, 0.250, 0.243), Au at (0.000, 0.000, 0.500) and Se at (0.000, 0.126, 0.736).

=====

[9]
This record from Alexandria describes a relaxed K2RbSiAu crystal. The functional is PBE.

The total energy is -2.35 eV/atom. The energy relative to the lowest polymorph listed for this composition comes out at 28 meV/atom. As for the uncorrected formation energy: 0.02 eV/atom. The crystal system is tetragonal. As for the density of states at the Fermi level: 2.5 states/eV per cell.

The space group is P4/mmm (No. 123) and the conventional cell measures 6.648, 6.648 and 4.725 Å, with angles of 90.00, 90.00 and 90.00 degrees. The distinct sites, in fractional coordinates, are K at (0.000, 0.500, 0.000), Rb at (0.000, 0.000, 0.500), Si at (0.500, 0.500, 0.000) and Au at (0.500, 0.500, 0.500).

=====

[10]
This record from Alexandria describes a relaxed K2RbSiAu crystal. The functional is PBE.

The total energy is -2.38 eV/atom. The energy relative to the lowest polymorph listed for this composition comes out at 0 meV/atom. As for the uncorrected formation energy: 0.00 eV/atom. The crystal system is tetragonal. As for the density of states at the Fermi level: 2.2 states/eV per cell.

The space group is P4/mmm (No. 123) and the conventional cell measures 6.582, 6.582 and 4.734 Å, with angles of 90.00, 90.00 and 90.00 degrees. The distinct sites, in fractional coordinates, are K at (0.000, 0.500, 0.000), Rb at (0.000, 0.000, 0.500), Si at (0.500, 0.500, 0.500) and Au at (0.500, 0.500, 0.000).

=====

[11]
This record from Alexandria describes a relaxed KRbSrAu2 crystal. The functional is PBE.

The total energy is -2.01 eV/atom. The crystal system is tetragonal. The value obtained for the formation energy is 49.4 meV per atom. As for the density of states at the Fermi level: 3.3 states/eV per cell.

The space group is P4/mmm (No. 123) and the conventional cell measures 6.019, 6.019 and 6.977 Å, with angles of 90.00, 90.00 and 90.00 degrees. The distinct sites, in fractional coordinates, are K at (0.000, 0.000, 0.000), Rb at (0.500, 0.500, 0.000), Sr at (0.000, 0.000, 0.500) and Au at (0.000, 0.500, 0.500).

=====

[12]
This record from Alexandria describes a relaxed KRb2SrAu crystal. The functional is PBE.

The total energy is -1.73 eV/atom. The crystal system is tetragonal. The value obtained for the formation energy is -134.0 meV per atom. As for the density of states at the Fermi level: 3.0 states/eV per cell.

The space group is P4/mmm (No. 123) and the conventional cell measures 6.915, 6.915 and 6.252 Å, with angles of 90.00, 90.00 and 90.00 degrees. The distinct sites, in fractional coordinates, are K at (0.000, 0.000, 0.000), Rb at (0.000, 0.500, 0.500), Sr at (0.500, 0.500, 0.000) and Au at (0.500, 0.500, 0.500).